Compound: ScTlCu2
Source: Alexandria via LeMat-Bulk
Functional: PBE-GGA
Structure: optimized geometry

- E_tot (eV per atom) = -4.259
- SG = F-43m
- theoretical density (g/cm³) = 8.98
- energy of formation (eV/f.u.) = -0.145
- total magnetization (Bohr magnetons per cell) = 0.0
- Fermi-level density of states (states/eV per atom) = 0.510

Lattice parameters (Å, degrees): 4.617 4.617 4.617 60.00 60.00 60.00
Fractional positions:
Sc: 0.000 0.000 0.000
Tl: 0.750 0.750 0.750
Cu: 0.250 0.250 0.250
Cu: 0.500 0.500 0.500